The following is a DFT calculation (SCAN) of a crystal of AgBr2 relaxed with PBEsol.

Properties
uncorrected formation energy = 0.16 eV/atom
final energy = -23.27 eV per atom
DOS(E_F) = 0.7 states/eV per cell

abc: 5.2278 5.2278 2.8478
angles: 90.00 90.00 120.00
Closest atoms and distances in Å follow each position.
Space group P-3m1 (No. 164)
Unique sites:
Ag 0.0000 0.0000 0.0000 (multiplicity 1)  2 Ag 2.85, 6 Br 3.10
Br 0.3333 0.6667 0.7582 (multiplicity 2)  2 Br 2.85, 3 Ag 3.10

***

The following is a DFT calculation (SCAN) of a crystal of ScCuRh2 relaxed with PBEsol.

Properties
final energy = -24.70 eV per atom
DOS(E_F) = 2.3 states/eV per cell

abc: 4.3956 2.9076 4.6770
angles: 90.00 107.80 90.00
Closest atoms and distances in Å follow each position.
Space group P2/m (No. 10)
Unique sites:
Sc 0.0000 0.0000 0.0000 (multiplicity 1)  6 Rh 2.64-2.68, 4 Cu 2.75, 2 Sc 2.91
Cu 0.0000 0.5000 0.5000 (multiplicity 1)  6 Rh 2.64-2.68, 4 Sc 2.75, 2 Cu 2.91
Rh 0.5000 0.0000 0.5000 (multiplicity 1)  4 Cu 2.64, 2 Sc 2.68, 6 Rh 2.75-2.91
Rh 0.5000 0.5000 0.0000 (multiplicity 1)  4 Sc 2.64, 2 Cu 2.68, 6 Rh 2.75-2.91

***

The following is a DFT calculation (SCAN) of a crystal of Bi2Te2Se relaxed with PBEsol.

Properties
uncorrected formation energy = -0.23 eV/atom
final energy = -50.58 eV per atom

abc: 4.2890 4.2890 29.8607
angles: 90.00 90.00 120.00
Closest atoms and distances in Å follow each position.
Space group R-3m (No. 166, hexagonal axes)
Unique sites:
Bi 0.0000 0.0000 0.1057 (multiplicity 6)  3 Te 3.04, 3 Se 3.07
Te 0.0000 0.0000 0.2870 (multiplicity 6)  3 Bi 3.04
Se 0.0000 0.0000 0.5000 (multiplicity 3)  6 Bi 3.07

***

The following is a DFT calculation (SCAN) of a crystal of BiAsH2Rh relaxed with PBEsol.

Properties
final energy = -27.42 eV per atom
DOS(E_F) = 3.1 states/eV per cell

abc: 3.7099 3.7099 5.5542
angles: 90.00 90.00 90.00
Closest atoms and distances in Å follow each position.
Space group P4/mmm (No. 123)
Unique sites:
Bi 0.0000 0.0000 0.0000 (multiplicity 1)  4 H 1.85
As 0.5000 0.5000 0.5000 (multiplicity 1)  4 Rh 2.62
H 0.0000 0.5000 0.0000 (multiplicity 2)  2 Bi 1.85
Rh 0.0000 0.0000 0.5000 (multiplicity 1)  4 As 2.62, 2 Bi 2.78